1.
## CsCaW3 (PBE)

Data for CsCaW3 after structural relaxation.

POSCAR file:
```
CsCaW3
1.0
5.023 0.000 0.000
0.000 5.023 0.000
0.000 0.000 5.023
Cs Ca W
1 1 3
direct
0.000 0.000 0.000
0.500 0.500 0.500
0.000 0.500 0.000
0.000 0.000 0.500
0.500 0.000 0.000
```

Volume = 25.35 A^3/atom
Total moment = 1.1 μB per cell
Energy relative to the lowest polymorph listed for this composition = 0.000 eV/atom
Calculated formation energy = 3.42 eV/atom
Theoretical density = 9.5 g/cm³

2.
## NdSnSb2 (PBE)

Data for NdSnSb2 after structural relaxation.

POSCAR file:
```
NdSnSb2
1.0
3.898 0.000 0.000
1.949 3.376 0.000
1.949 1.125 10.224
Sb Nd Sn
2 1 1
direct
0.102 0.102 0.694
0.898 0.898 0.306
0.000 0.000 0.000
0.500 0.500 0.500
```

Volume = 33.64 A^3/atom
Total moment = 0.0 μB per cell
ΔE_f (raw) = 146 meV per atom
Energy relative to the lowest polymorph listed for this composition = 0.684 eV/atom
Theoretical density = 6.3 g/cm³

3.
## As2IrBr (PBE)

Data for As2IrBr after structural relaxation.

POSCAR file:
```
As2IrBr
1.0
4.627 -0.014 -0.024
-1.621 4.333 0.030
1.384 2.233 3.804
As Ir Br
2 1 1
direct
0.000 0.000 0.000
0.500 0.000 0.500
0.500 0.500 0.000
0.000 0.500 0.500
```

Volume = 19.03 A^3/atom
Total moment = 0.0 μB per cell
ΔE_f (raw) = 448 meV per atom
Energy relative to the lowest polymorph listed for this composition = 0.628 eV/atom
Theoretical density = 9.2 g/cm³

4.
## YMo2Pt (PBE)

Data for YMo2Pt after structural relaxation.

POSCAR file:
```
YMo2Pt
1.0
2.905 0.125 0.000
-0.718 2.818 0.000
0.000 0.000 8.773
Mo Pt Y
2 1 1
direct
0.000 0.000 0.025
0.500 0.500 0.256
0.000 0.000 0.477
0.500 0.500 0.742
```

Volume = 18.16 A^3/atom
Total moment = 0.0 μB per cell
Energy relative to the lowest polymorph listed for this composition = 0.194 eV/atom
Calculated formation energy = 0.06 eV/atom
Theoretical density = 10.9 g/cm³

5.
## K2LiBiF8 (PBE)

Data for K2LiBiF8 after structural relaxation.

POSCAR file:
```
K2LiBiF8
1.0
-3.082 -3.273 1.500
4.751 -1.475 3.547
-0.810 5.110 5.684
K Li Bi F
2 1 1 8
direct
0.657 0.449 0.813
0.343 0.551 0.187
0.000 0.000 0.000
0.000 0.000 0.500
0.203 0.935 0.301
0.826 0.717 0.042
0.766 0.199 0.304
0.797 0.065 0.699
0.174 0.283 0.958
0.234 0.801 0.696
0.710 0.716 0.476
0.290 0.284 0.524
```

Volume = 17.84 A^3/atom
Total moment = 0.1 μB per cell
ΔE_f (raw) = -2360 meV per atom
Theoretical density = 3.5 g/cm³

6.
## Cd3NiHg (PBE)

Data for Cd3NiHg after structural relaxation.

POSCAR file:
```
Cd3NiHg
1.0
-3.331 1.283 3.557
-2.829 -3.991 -1.210
2.509 -2.797 3.359
Ni Hg Cd
1 1 3
direct
0.000 0.000 0.000
0.500 0.500 0.500
0.000 0.500 0.000
0.000 0.000 0.500
0.500 0.000 0.000
```

Volume = 25.59 A^3/atom
Total moment = 0.0 μB per cell
Energy relative to the lowest polymorph listed for this composition = 0.113 eV/atom
Calculated formation energy = 0.16 eV/atom
Theoretical density = 7.7 g/cm³